Entry from the Alexandria database: crystalline LiDyCd at its relaxed geometry (PBE-GGA).

Output
Energy above the lowest structure with this stoichiometry: 0.102 eV per atom
V: 24.13 Å³/atom
Theoretical density: 6.5 g/cm³
Magnetization: 0.000 Bohr magnetons per cell
Formation enthalpy at 0 K: -0.0590 eV/atom

Cell lengths 3.4305, 3.4305, 24.6061 Å; angles 90.00, 90.00, 90.00 degrees
Space group I4/mmm (No. 139)
Inequivalent atoms, fractional coordinates:
Li 0.0000 0.0000 0.2180
Dy 0.0000 0.0000 0.0710
Cd 0.0000 0.0000 0.3450